# PBE+U FeHOF2, optimized geometry
data_FeHOF2
_chemical_formula_sum 'Fe1 H1 O1 F2'
_cell_length_a 3.924
_cell_length_b 3.924
_cell_length_c 3.811
_cell_angle_alpha 90.00
_cell_angle_beta 90.00
_cell_angle_gamma 90.00
_symmetry_space_group_name_H-M 'P 4/m m m'
_symmetry_Int_Tables_number 123
_symmetry_space_group_name_Hall '-P 4 2'
loop_
_atom_site_label
_atom_site_type_symbol
_atom_site_fract_x
_atom_site_fract_y
_atom_site_fract_z
Fe1 Fe 0.000 0.000 0.000
H1 H 0.500 0.500 0.500
O1 O 0.000 0.000 0.500
F1 F 0.000 0.500 0.000
# M_tot: 5.00 μB/cell
# VASP energy: -4.383 eV per atom